1.
# GGA-PBE PrAl2Ga, relaxed
data_PrAl2Ga
_space_group_name_H-M_alt 'P 1'
_space_group_IT_number 1
_cell_length_a 4.573
_cell_length_b 11.334
_cell_length_c 6.591
_cell_angle_alpha 90.00
_cell_angle_beta 90.00
_cell_angle_gamma 90.00
loop_
_space_group_symop_operation_xyz
'x,y,z'
loop_
_atom_site_label
_atom_site_fract_x
_atom_site_fract_y
_atom_site_fract_z
Pr1 0.250 0.165 0.000
Pr2 0.250 0.665 0.500
Pr3 0.750 0.335 0.500
Pr4 0.750 0.835 0.000
Al1 0.250 0.139 0.501
Al2 0.250 0.429 0.792
Al3 0.250 0.639 0.001
Al4 0.250 0.929 0.292
Al5 0.750 0.071 0.292
Al6 0.750 0.361 0.001
Al7 0.750 0.571 0.792
Al8 0.750 0.861 0.501
Ga1 0.250 0.427 0.212
Ga2 0.250 0.927 0.712
Ga3 0.750 0.073 0.712
Ga4 0.750 0.573 0.212
# E above lowest polymorph in meV/atom: 3
# Total moment in μB per formula unit: 0.004

---

2.
# GGA-PBE PrAl2Ga, relaxed
data_PrAl2Ga
_space_group_name_H-M_alt 'P 1'
_space_group_IT_number 1
_cell_length_a 4.559
_cell_length_b 6.596
_cell_length_c 11.346
_cell_angle_alpha 90.00
_cell_angle_beta 90.00
_cell_angle_gamma 90.00
loop_
_space_group_symop_operation_xyz
'x,y,z'
loop_
_atom_site_label
_atom_site_fract_x
_atom_site_fract_y
_atom_site_fract_z
Pr1 0.000 0.000 0.000
Pr2 0.000 0.500 0.500
Pr3 0.500 0.000 0.331
Pr4 0.500 0.500 0.831
Al1 0.000 0.000 0.528
Al2 0.000 0.500 0.028
Al3 0.500 0.000 0.805
Al4 0.500 0.209 0.594
Al5 0.500 0.291 0.094
Al6 0.500 0.500 0.305
Al7 0.500 0.709 0.094
Al8 0.500 0.791 0.594
Ga1 0.000 0.212 0.738
Ga2 0.000 0.288 0.238
Ga3 0.000 0.712 0.238
Ga4 0.000 0.788 0.738
# E above lowest polymorph in meV/atom: 0
# Total moment in μB per formula unit: 0.004

---

3.
# GGA-PBE Pr2AlGaPt4, relaxed
data_Pr2AlGaPt4
_space_group_name_H-M_alt 'P 1'
_space_group_IT_number 1
_cell_length_a 4.410
_cell_length_b 4.410
_cell_length_c 9.733
_cell_angle_alpha 90.00
_cell_angle_beta 90.00
_cell_angle_gamma 120.00
loop_
_space_group_symop_operation_xyz
'x,y,z'
loop_
_atom_site_label
_atom_site_fract_x
_atom_site_fract_y
_atom_site_fract_z
Pr1 0.333 0.667 0.251
Pr2 0.667 0.333 0.749
Al1 0.000 0.000 0.000
Ga1 0.000 0.000 0.500
Pt1 0.333 0.667 0.573
Pt2 0.333 0.667 0.928
Pt3 0.667 0.333 0.072
Pt4 0.667 0.333 0.427
# Calculated total energy in eV per atom: -6.0955
# Total moment in μB per formula unit: 0.008

---

4.
# GGA-PBE PrAlZnGa2, relaxed
data_PrAlZnGa2
_space_group_name_H-M_alt 'P 1'
_space_group_IT_number 1
_cell_length_a 4.235
_cell_length_b 4.235
_cell_length_c 10.998
_cell_angle_alpha 90.00
_cell_angle_beta 90.00
_cell_angle_gamma 90.00
loop_
_space_group_symop_operation_xyz
'x,y,z'
loop_
_atom_site_label
_atom_site_fract_x
_atom_site_fract_y
_atom_site_fract_z
Pr1 0.000 0.000 0.000
Pr2 0.500 0.500 0.500
Al1 0.000 0.500 0.250
Al2 0.500 0.000 0.750
Zn1 0.000 0.500 0.750
Zn2 0.500 0.000 0.250
Ga1 0.000 0.000 0.387
Ga2 0.000 0.000 0.613
Ga3 0.500 0.500 0.113
Ga4 0.500 0.500 0.887
# Calculated total energy in eV per atom: -3.6441
# Total moment in μB per formula unit: 0.004

---

5.
# GGA-PBE AlGaPt, relaxed
data_AlGaPt
_space_group_name_H-M_alt 'P 1'
_space_group_IT_number 1
_cell_length_a 6.227
_cell_length_b 3.769
_cell_length_c 8.189
_cell_angle_alpha 90.00
_cell_angle_beta 90.00
_cell_angle_gamma 90.00
loop_
_space_group_symop_operation_xyz
'x,y,z'
loop_
_atom_site_label
_atom_site_fract_x
_atom_site_fract_y
_atom_site_fract_z
Al1 0.055 0.250 0.155
Al2 0.445 0.750 0.655
Al3 0.555 0.250 0.345
Al4 0.945 0.750 0.845
Ga1 0.147 0.250 0.548
Ga2 0.353 0.750 0.048
Ga3 0.647 0.250 0.952
Ga4 0.853 0.750 0.452
Pt1 0.246 0.250 0.848
Pt2 0.254 0.750 0.348
Pt3 0.746 0.250 0.652
Pt4 0.754 0.750 0.152
# Calculated total energy in eV per atom: -4.9306
# Total moment in μB per formula unit: 0.002

---

6.
# GGA-PBE Al3GaPt4, relaxed
data_Al3GaPt4
_space_group_name_H-M_alt 'P 1'
_space_group_IT_number 1
_cell_length_a 4.929
_cell_length_b 4.929
_cell_length_c 4.929
_cell_angle_alpha 89.92
_cell_angle_beta 89.92
_cell_angle_gamma 89.92
loop_
_space_group_symop_operation_xyz
'x,y,z'
loop_
_atom_site_label
_atom_site_fract_x
_atom_site_fract_y
_atom_site_fract_z
Al1 0.042 0.228 0.730
Al2 0.228 0.730 0.042
Al3 0.730 0.042 0.228
Ga1 0.541 0.541 0.541
Pt1 0.039 0.734 0.539
Pt2 0.230 0.230 0.230
Pt3 0.539 0.039 0.734
Pt4 0.734 0.539 0.039
# Calculated total energy in eV per atom: -5.7547
# Total moment in μB per formula unit: 0.001

---

7.
# GGA-PBE AlGaPt, relaxed
data_AlGaPt
_space_group_name_H-M_alt 'P 1'
_space_group_IT_number 1
_cell_length_a 4.395
_cell_length_b 4.395
_cell_length_c 5.612
_cell_angle_alpha 90.00
_cell_angle_beta 90.00
_cell_angle_gamma 120.00
loop_
_space_group_symop_operation_xyz
'x,y,z'
loop_
_atom_site_label
_atom_site_fract_x
_atom_site_fract_y
_atom_site_fract_z
Al1 0.000 0.000 0.000
Al2 0.000 0.000 0.500
Ga1 0.333 0.667 0.250
Ga2 0.667 0.333 0.750
Pt1 0.333 0.667 0.750
Pt2 0.667 0.333 0.250
# Calculated total energy in eV per atom: -4.6977
# Total moment in μB per formula unit: 0.000

---

8.
# GGA-PBE ScAlGaPt, relaxed
data_ScAlGaPt
_space_group_name_H-M_alt 'P 1'
_space_group_IT_number 1
_cell_length_a 9.818
_cell_length_b 4.212
_cell_length_c 6.710
_cell_angle_alpha 90.00
_cell_angle_beta 90.53
_cell_angle_gamma 90.00
loop_
_space_group_symop_operation_xyz
'x,y,z'
loop_
_atom_site_label
_atom_site_fract_x
_atom_site_fract_y
_atom_site_fract_z
Sc1 0.078 0.000 0.253
Sc2 0.422 0.500 0.747
Sc3 0.578 0.500 0.253
Sc4 0.922 0.000 0.747
Al1 0.138 0.500 0.948
Al2 0.362 0.000 0.052
Al3 0.638 0.000 0.948
Al4 0.862 0.500 0.052
Ga1 0.129 0.500 0.547
Ga2 0.371 0.000 0.453
Ga3 0.629 0.000 0.547
Ga4 0.871 0.500 0.453
Pt1 0.206 0.000 0.751
Pt2 0.294 0.500 0.249
Pt3 0.706 0.500 0.751
Pt4 0.794 0.000 0.249
# E above lowest polymorph in meV/atom: 0
# Total moment in μB per formula unit: 0.001

---

9.
# GGA-PBE ScAlGaPt, relaxed
data_ScAlGaPt
_space_group_name_H-M_alt 'P 1'
_space_group_IT_number 1
_cell_length_a 6.728
_cell_length_b 4.205
_cell_length_c 9.797
_cell_angle_alpha 90.00
_cell_angle_beta 90.00
_cell_angle_gamma 90.00
loop_
_space_group_symop_operation_xyz
'x,y,z'
loop_
_atom_site_label
_atom_site_fract_x
_atom_site_fract_y
_atom_site_fract_z
Sc1 0.000 0.000 0.000
Sc2 0.000 0.500 0.500
Sc3 0.500 0.000 0.156
Sc4 0.500 0.500 0.656
Al1 0.300 0.000 0.441
Al2 0.300 0.500 0.941
Al3 0.700 0.000 0.441
Al4 0.700 0.500 0.941
Ga1 0.203 0.000 0.707
Ga2 0.203 0.500 0.207
Ga3 0.797 0.000 0.707
Ga4 0.797 0.500 0.207
Pt1 0.000 0.000 0.289
Pt2 0.000 0.500 0.789
Pt3 0.500 0.000 0.877
Pt4 0.500 0.500 0.377
# E above lowest polymorph in meV/atom: 3
# Total moment in μB per formula unit: 0.001

---

10.
# GGA-PBE ScAlGaPt, relaxed
data_ScAlGaPt
_space_group_name_H-M_alt 'P 1'
_space_group_IT_number 1
_cell_length_a 4.212
_cell_length_b 9.813
_cell_length_c 6.711
_cell_angle_alpha 90.00
_cell_angle_beta 90.00
_cell_angle_gamma 90.00
loop_
_space_group_symop_operation_xyz
'x,y,z'
loop_
_atom_site_label
_atom_site_fract_x
_atom_site_fract_y
_atom_site_fract_z
Sc1 0.000 0.079 0.000
Sc2 0.000 0.921 0.500
Sc3 0.500 0.421 0.500
Sc4 0.500 0.579 0.000
Al1 0.000 0.362 0.806
Al2 0.000 0.638 0.306
Al3 0.500 0.138 0.306
Al4 0.500 0.862 0.806
Ga1 0.000 0.374 0.207
Ga2 0.000 0.626 0.707
Ga3 0.500 0.126 0.707
Ga4 0.500 0.874 0.207
Pt1 0.000 0.206 0.501
Pt2 0.000 0.794 0.001
Pt3 0.500 0.294 0.001
Pt4 0.500 0.706 0.501
# E above lowest polymorph in meV/atom: 1
# Total moment in μB per formula unit: 0.001

---

11.
# GGA-PBE Sc2AlGa3Pt2, relaxed
data_Sc2AlGa3Pt2
_space_group_name_H-M_alt 'P 1'
_space_group_IT_number 1
_cell_length_a 9.807
_cell_length_b 4.222
_cell_length_c 6.661
_cell_angle_alpha 90.00
_cell_angle_beta 90.27
_cell_angle_gamma 90.00
loop_
_space_group_symop_operation_xyz
'x,y,z'
loop_
_atom_site_label
_atom_site_fract_x
_atom_site_fract_y
_atom_site_fract_z
Sc1 0.000 0.000 0.000
Sc2 0.160 0.000 0.504
Sc3 0.500 0.500 0.000
Sc4 0.660 0.500 0.504
Al1 0.443 0.000 0.305
Al2 0.943 0.500 0.305
Ga1 0.207 0.500 0.206
Ga2 0.210 0.500 0.801
Ga3 0.452 0.000 0.706
Ga4 0.707 0.000 0.206
Ga5 0.710 0.000 0.801
Ga6 0.952 0.500 0.706
Pt1 0.288 0.000 0.003
Pt2 0.377 0.500 0.502
Pt3 0.788 0.500 0.003
Pt4 0.877 0.000 0.502
# Calculated total energy in eV per atom: -5.6058
# Total moment in μB per formula unit: 0.000

---

12.
# GGA-PBE Zr2AlGaPt2, relaxed
data_Zr2AlGaPt2
_space_group_name_H-M_alt 'P 1'
_space_group_IT_number 1
_cell_length_a 4.521
_cell_length_b 4.521
_cell_length_c 5.907
_cell_angle_alpha 90.00
_cell_angle_beta 90.00
_cell_angle_gamma 120.00
loop_
_space_group_symop_operation_xyz
'x,y,z'
loop_
_atom_site_label
_atom_site_fract_x
_atom_site_fract_y
_atom_site_fract_z
Zr1 0.000 0.000 0.249
Zr2 0.000 0.000 0.751
Al1 0.667 0.333 0.500
Ga1 0.333 0.667 0.000
Pt1 0.333 0.667 0.500
Pt2 0.667 0.333 0.000
# Calculated total energy in eV per atom: -6.9356
# Total moment in μB per formula unit: 0.016

---

13.
# GGA-PBE AlZnGaTe3Se, relaxed
data_AlZnGaTe3Se
_space_group_name_H-M_alt 'P 1'
_space_group_IT_number 1
_cell_length_a 5.947
_cell_length_b 5.957
_cell_length_c 7.201
_cell_angle_alpha 114.35
_cell_angle_beta 113.20
_cell_angle_gamma 91.01
loop_
_space_group_symop_operation_xyz
'x,y,z'
loop_
_atom_site_label
_atom_site_fract_x
_atom_site_fract_y
_atom_site_fract_z
Al1 0.000 0.000 0.000
Zn1 0.480 0.481 0.003
Ga1 0.236 0.756 0.516
Te1 0.390 0.899 0.273
Te2 0.623 0.599 0.737
Te3 0.857 0.355 0.274
Se1 0.104 0.117 0.751
# Calculated total energy in eV per atom: -3.4847

---

14.
# GGA-PBE AlZnGaTeSe3, relaxed
data_AlZnGaTeSe3
_space_group_name_H-M_alt 'P 1'
_space_group_IT_number 1
_cell_length_a 5.722
_cell_length_b 5.742
_cell_length_c 6.866
_cell_angle_alpha 113.28
_cell_angle_beta 113.62
_cell_angle_gamma 91.18
loop_
_space_group_symop_operation_xyz
'x,y,z'
loop_
_atom_site_label
_atom_site_fract_x
_atom_site_fract_y
_atom_site_fract_z
Al1 0.000 0.000 0.000
Zn1 0.517 0.481 0.998
Ga1 0.744 0.223 0.485
Te1 0.137 0.626 0.719
Se1 0.373 0.367 0.255
Se2 0.619 0.092 0.738
Se3 0.896 0.864 0.255
# Calculated total energy in eV per atom: -3.7414

---

15.
# GGA-PBE AlZnGaSe4, relaxed
data_AlZnGaSe4
_space_group_name_H-M_alt 'P 1'
_space_group_IT_number 1
_cell_length_a 5.611
_cell_length_b 5.611
_cell_length_c 11.052
_cell_angle_alpha 90.00
_cell_angle_beta 90.00
_cell_angle_gamma 90.00
loop_
_space_group_symop_operation_xyz
'x,y,z'
loop_
_atom_site_label
_atom_site_fract_x
_atom_site_fract_y
_atom_site_fract_z
Al1 0.000 0.000 0.000
Al2 0.500 0.500 0.500
Zn1 0.000 0.000 0.500
Zn2 0.500 0.500 0.000
Ga1 0.000 0.500 0.750
Ga2 0.500 0.000 0.250
Se1 0.233 0.743 0.132
Se2 0.243 0.267 0.368
Se3 0.257 0.233 0.868
Se4 0.267 0.757 0.632
Se5 0.733 0.243 0.632
Se6 0.743 0.767 0.868
Se7 0.757 0.733 0.368
Se8 0.767 0.257 0.132
# Calculated total energy in eV per atom: -3.8809

---

16.
# GGA-PBE SmAl2Ga, relaxed
data_SmAl2Ga
_space_group_name_H-M_alt 'P 1'
_space_group_IT_number 1
_cell_length_a 4.561
_cell_length_b 11.117
_cell_length_c 6.452
_cell_angle_alpha 90.00
_cell_angle_beta 90.00
_cell_angle_gamma 90.00
loop_
_space_group_symop_operation_xyz
'x,y,z'
loop_
_atom_site_label
_atom_site_fract_x
_atom_site_fract_y
_atom_site_fract_z
Sm1 0.250 0.165 0.000
Sm2 0.250 0.665 0.500
Sm3 0.750 0.335 0.500
Sm4 0.750 0.835 0.000
Al1 0.250 0.142 0.501
Al2 0.250 0.427 0.786
Al3 0.250 0.642 0.001
Al4 0.250 0.927 0.286
Al5 0.750 0.073 0.286
Al6 0.750 0.358 0.001
Al7 0.750 0.573 0.786
Al8 0.750 0.858 0.501
Ga1 0.250 0.425 0.217
Ga2 0.250 0.925 0.717
Ga3 0.750 0.075 0.717
Ga4 0.750 0.575 0.217
# Calculated total energy in eV per atom: -4.2965
# Total moment in μB per formula unit: 0.005

---

17.
# GGA-PBE SmAl5Ga, relaxed
data_SmAl5Ga
_space_group_name_H-M_alt 'P 1'
_space_group_IT_number 1
_cell_length_a 6.095
_cell_length_b 6.132
_cell_length_c 8.236
_cell_angle_alpha 90.00
_cell_angle_beta 90.00
_cell_angle_gamma 90.00
loop_
_space_group_symop_operation_xyz
'x,y,z'
loop_
_atom_site_label
_atom_site_fract_x
_atom_site_fract_y
_atom_site_fract_z
Sm1 0.000 0.000 0.000
Sm2 0.500 0.500 0.500
Al1 0.000 0.000 0.621
Al2 0.000 0.294 0.374
Al3 0.000 0.706 0.374
Al4 0.207 0.500 0.811
Al5 0.293 0.000 0.311
Al6 0.500 0.206 0.874
Al7 0.500 0.500 0.121
Al8 0.500 0.794 0.874
Al9 0.707 0.000 0.311
Al10 0.793 0.500 0.811
Ga1 0.000 0.500 0.098
Ga2 0.500 0.000 0.598
# Calculated total energy in eV per atom: -3.7035
# Total moment in μB per formula unit: 0.007

---

18.
# GGA-PBE Sm2Al5Ga, relaxed
data_Sm2Al5Ga
_space_group_name_H-M_alt 'P 1'
_space_group_IT_number 1
_cell_length_a 4.560
_cell_length_b 6.430
_cell_length_c 11.178
_cell_angle_alpha 90.00
_cell_angle_beta 90.00
_cell_angle_gamma 90.00
loop_
_space_group_symop_operation_xyz
'x,y,z'
loop_
_atom_site_label
_atom_site_fract_x
_atom_site_fract_y
_atom_site_fract_z
Sm1 0.000 0.000 0.000
Sm2 0.000 0.500 0.500
Sm3 0.500 0.000 0.335
Sm4 0.500 0.500 0.835
Al1 0.000 0.215 0.738
Al2 0.000 0.285 0.238
Al3 0.000 0.715 0.238
Al4 0.000 0.785 0.738
Al5 0.500 0.000 0.811
Al6 0.500 0.215 0.597
Al7 0.500 0.285 0.097
Al8 0.500 0.500 0.311
Al9 0.500 0.715 0.097
Al10 0.500 0.785 0.597
Ga1 0.000 0.000 0.522
Ga2 0.000 0.500 0.022
# Calculated total energy in eV per atom: -4.3662
# Total moment in μB per formula unit: 0.012

---

19.
# GGA-PBE SmAlGa2, relaxed
data_SmAlGa2
_space_group_name_H-M_alt 'P 1'
_space_group_IT_number 1
_cell_length_a 4.492
_cell_length_b 6.441
_cell_length_c 11.188
_cell_angle_alpha 90.00
_cell_angle_beta 90.00
_cell_angle_gamma 90.00
loop_
_space_group_symop_operation_xyz
'x,y,z'
loop_
_atom_site_label
_atom_site_fract_x
_atom_site_fract_y
_atom_site_fract_z
Sm1 0.000 0.000 0.000
Sm2 0.000 0.500 0.500
Sm3 0.500 0.000 0.335
Sm4 0.500 0.500 0.835
Al1 0.500 0.211 0.599
Al2 0.500 0.289 0.099
Al3 0.500 0.711 0.099
Al4 0.500 0.789 0.599
Ga1 0.000 0.000 0.524
Ga2 0.000 0.217 0.738
Ga3 0.000 0.283 0.238
Ga4 0.000 0.500 0.024
Ga5 0.000 0.717 0.238
Ga6 0.000 0.783 0.738
Ga7 0.500 0.000 0.812
Ga8 0.500 0.500 0.312
# Calculated total energy in eV per atom: -4.1600
# Total moment in μB per formula unit: 0.004

---

20.
# GGA-PBE SmAl2Ga, relaxed
data_SmAl2Ga
_space_group_name_H-M_alt 'P 1'
_space_group_IT_number 1
_cell_length_a 4.538
_cell_length_b 6.455
_cell_length_c 11.140
_cell_angle_alpha 90.00
_cell_angle_beta 90.00
_cell_angle_gamma 90.00
loop_
_space_group_symop_operation_xyz
'x,y,z'
loop_
_atom_site_label
_atom_site_fract_x
_atom_site_fract_y
_atom_site_fract_z
Sm1 0.000 0.000 0.000
Sm2 0.000 0.500 0.500
Sm3 0.500 0.000 0.332
Sm4 0.500 0.500 0.832
Al1 0.000 0.000 0.524
Al2 0.000 0.215 0.739
Al3 0.000 0.285 0.239
Al4 0.000 0.500 0.024
Al5 0.000 0.715 0.239
Al6 0.000 0.785 0.739
Al7 0.500 0.000 0.807
Al8 0.500 0.500 0.307
Ga1 0.500 0.217 0.593
Ga2 0.500 0.283 0.093
Ga3 0.500 0.717 0.093
Ga4 0.500 0.783 0.593
# Calculated total energy in eV per atom: -4.2992
# Total moment in μB per formula unit: 0.005